No. 1
A plane-wave DFT calculation with PBE was carried out for a relaxed CsSmP4O12 crystal.

```
72
Lattice="10.5795 0.0000 0.0000 0.0000 9.0992 0.0000 -7.2858 0.0000 10.8722" Properties=species:S:1:pos:R:3 pbc="T T T"
Cs 2.0940 0.5894 0.4163
Cs -1.5489 3.9602 5.8524
Cs 4.8425 5.1390 5.0198
Cs 1.1996 8.5098 10.4559
Sm -2.6198 6.5991 8.8869
Sm 1.0231 7.0498 3.4508
Sm 2.2705 2.0495 7.4215
Sm 5.9134 2.5002 1.9854
P -1.7225 0.2873 3.1080
P -5.3654 4.2623 8.5442
P 1.9439 5.5069 0.2800
P -1.6990 8.1419 5.7161
P 0.7998 1.5897 3.9803
P -2.8431 2.9599 9.4165
P -1.2969 0.8269 8.0764
P 2.3460 3.7227 2.6402
P 0.9476 5.3765 8.2320
P 4.5905 8.2723 2.7959
P 6.1367 6.1393 1.4558
P 2.4938 7.5096 6.8919
P 4.9926 0.9573 5.1561
P 1.3497 3.5923 10.5922
P 8.6591 4.8369 2.3281
P 5.0162 8.8120 7.7642
O -6.1008 4.9044 9.8485
O -2.4579 8.7445 4.4124
O -4.4601 5.2688 7.8816
O -0.8172 8.3801 2.4455
O -0.8532 5.4586 3.1726
O -4.4961 8.1902 8.6087
O -0.8101 1.4696 3.7597
O -4.4530 3.0800 9.1958
O 1.0426 6.4414 1.0353
O -2.6003 7.2075 6.4714
O -1.5164 0.4399 6.5283
O 2.1265 4.1098 1.0922
O -2.5292 1.8802 8.2368
O 1.1137 2.6694 2.8006
O -4.0101 6.0265 10.7028
O -0.3672 7.6223 5.2667
O 1.4813 0.3051 3.6170
O -2.1616 4.2445 9.0531
O 2.1022 4.9154 3.5180
O -1.5407 8.7334 8.9541
O 0.9924 2.2158 5.3262
O -2.6505 2.3338 10.7623
O -0.3422 6.1242 8.0930
O 3.3007 7.5246 2.6569
O -0.0070 1.5746 8.2153
O 3.6359 2.9750 2.7792
O 5.9441 6.7654 0.1099
O 2.3012 6.8834 5.5461
O 4.8344 0.3658 1.9181
O 1.1915 4.1838 7.3543
O 5.4553 4.8547 1.8191
O 1.8124 8.7941 7.2553
O 3.6608 1.4769 5.6055
O 7.3037 3.0727 0.1694
O 2.1799 6.4298 8.0716
O 5.8228 7.2191 2.6355
O 1.1671 4.9895 9.7801
O 4.8100 8.6594 4.3439
O 5.8939 1.8918 4.4008
O 2.2510 2.6579 9.8370
O 7.7467 6.0192 1.6764
O 4.1038 7.6296 7.1125
O 7.7897 0.9090 2.2635
O 4.1468 3.6406 7.6997
O 4.1109 0.7191 8.4267
O 7.7538 3.8305 2.9906
O 5.7516 0.3547 6.4599
O 9.3945 4.1949 1.0238
```

Calculated values
DFT total energy (eV/atom): -7.272
Raw formation energy (eV per atom): -2.45
Space group: P2_1/c

---

No. 2
A plane-wave DFT calculation with PBE was carried out for a relaxed CsSnP2O6 crystal.

```
20
Lattice="5.4812 -5.3688 0.0000 5.4812 5.3688 0.0000 -2.1368 0.0000 6.3819" Properties=species:S:1:pos:R:3 pbc="T T T"
Cs 3.8786 4.1285 4.7864
Cs 4.9470 -4.1285 1.5955
Sn 4.9470 1.8096 1.5955
Sn 3.8786 -1.8096 4.7864
P 1.1005 0.9730 5.0383
P 2.1689 -0.9730 1.8473
P 6.6568 0.9730 4.5346
P 7.7252 -0.9730 1.3436
O 3.4738 3.5606 1.7747
O 2.2822 1.7705 5.5760
O 2.4661 0.1957 0.8844
O 1.3977 -0.1957 4.0753
O 6.4203 3.5606 1.4163
O 5.4750 1.7705 3.9969
O 3.3506 -1.7705 2.3850
O 2.4054 -3.5606 4.9656
O 7.4279 0.1957 2.3066
O 6.3595 -0.1957 5.4975
O 6.5434 -1.7705 0.8059
O 5.3519 -3.5606 4.6072
```

Calculated values
DFT total energy (eV/atom): -6.249
Raw formation energy (eV per atom): -1.71
Space group: C2/c

---

No. 3
A plane-wave DFT calculation with PBE was carried out for a relaxed Cs2SrPO4 crystal.

```
16
Lattice="0.0000 6.3200 13.6734 3.0249 0.0000 13.6734 3.0249 6.3200 0.0000" Properties=species:S:1:pos:R:3 pbc="T T T"
Cs 2.2687 4.7400 1.6307
Cs 3.7811 7.8999 8.4675
Cs 2.2687 4.7400 18.8794
Cs 3.7811 7.8999 25.7161
Sr 0.7562 1.5800 3.4184
Sr 5.2936 11.0599 23.9285
P 2.2687 4.7400 10.2551
P 3.7811 7.8999 17.0918
O 3.2037 3.8214 9.3891
O 3.2037 5.6585 11.1210
O 4.7162 6.9814 17.9578
O 1.3336 3.8214 11.1210
O 4.7162 8.8185 16.2258
O 1.3336 5.6585 9.3891
O 2.8461 6.9814 16.2258
O 2.8461 8.8185 17.9578
```

Calculated values
DFT total energy (eV/atom): -5.592
Raw formation energy (eV per atom): -2.01
Space group: Fddd

---

No. 4
A plane-wave DFT calculation with PBE was carried out for a relaxed Cs4Sr3P12O36 crystal.

```
110
Lattice="-7.9043 7.9043 7.9043 7.9043 -7.9043 7.9043 7.9043 7.9043 -7.9043" Properties=species:S:1:pos:R:3 pbc="T T T"
Cs 5.7281 2.1762 -2.1762
Cs 9.6803 -1.7760 1.7760
Cs 2.1762 -2.1762 5.7281
Cs 2.1762 2.1762 2.1762
Cs -2.1762 5.7281 2.1762
Cs 1.7760 9.6803 -1.7760
Cs -1.7760 1.7760 9.6803
Cs 6.1284 6.1284 6.1284
Sr 11.8565 1.9761 0.0000
Sr 5.9283 0.0000 3.9522
Sr 3.9522 5.9283 0.0000
Sr 0.0000 3.9522 5.9283
Sr 1.9761 0.0000 11.8565
Sr 0.0000 11.8565 1.9761
P 3.1956 -1.8239 1.9051
P 13.6804 -0.7565 2.0471
P 1.9051 3.1956 -1.8239
P 6.0804 5.9992 -3.1956
P 5.9992 -3.1956 6.0804
P 8.6609 -2.0471 5.7761
P 8.6609 2.0471 2.1283
P 5.9992 3.1956 1.8239
P -1.8239 1.9051 3.1956
P 9.8095 4.7087 1.8239
P 5.7761 8.6609 -2.0471
P 3.1956 1.8239 5.9992
P 7.1478 5.8573 2.1283
P 1.8239 5.9992 3.1956
P 5.8573 2.1283 7.1478
P 2.1283 8.6609 2.0471
P 2.0471 2.1283 8.6609
P 4.7087 1.8239 9.8095
P -3.1956 6.0804 5.9992
P 2.0471 13.6804 -0.7565
P 2.1283 7.1478 5.8573
P -2.0471 5.7761 8.6609
P 1.8239 9.8095 4.7087
P -0.7565 2.0471 13.6804
O 14.0916 1.3859 -1.1859
O 10.6706 2.5662 -2.2350
O 6.5184 -1.1859 1.7171
O 6.5164 -4.4629 5.1999
O 12.4769 -0.2764 1.2910
O 8.4151 -5.3401 6.6566
O 7.2840 5.2431 -3.6758
O 9.2923 -3.4414 5.1999
O 3.6758 -0.6204 2.6612
O 5.1999 6.5164 -4.4629
O 9.6215 1.3859 1.1859
O 5.3381 -2.2350 5.1381
O 2.6612 3.6758 -0.6204
O 6.6566 8.4151 -5.3401
O 5.1381 5.3381 -2.2350
O 8.1808 -1.2910 4.5726
O 5.2431 -3.6758 7.2840
O 7.3936 2.5643 1.2478
O 7.3936 -2.5643 6.6566
O 5.2431 3.6758 0.6204
O 8.1808 1.2910 3.3318
O 13.0424 2.5662 2.2350
O 6.6566 7.3936 -2.5643
O 10.5656 4.2286 0.6204
O 5.3381 2.2350 2.7663
O 1.7171 6.5184 -1.1859
O 5.1999 9.2923 -3.4414
O 3.6758 0.6204 5.2431
O 9.2923 3.4414 2.7044
O -0.6204 2.6612 3.6758
O 8.4151 5.3401 1.2478
O 4.5726 8.1808 -1.2910
O 6.5164 4.4629 2.7044
O 6.5184 1.1859 6.1872
O 2.7663 5.3381 2.2350
O 6.1872 6.5184 1.1859
O 2.2350 2.7663 5.3381
O -1.1859 1.7171 6.5184
O 2.5662 -2.2350 10.6706
O 2.5643 1.2478 7.3936
O 0.6204 5.2431 3.6758
O 4.4629 2.7044 6.5164
O 3.3318 8.1808 1.2910
O 5.3401 1.2478 8.4151
O 7.6279 6.6134 3.3318
O 1.2478 7.3936 2.5643
O -2.2350 5.1381 5.3381
O 1.3859 1.1859 9.6215
O 6.6134 3.3318 7.6279
O 2.7044 6.5164 4.4629
O 1.1859 9.6215 1.3859
O 4.2286 0.6204 10.5656
O 1.2910 3.3318 8.1808
O -4.4629 5.1999 6.5164
O 3.4414 2.7044 9.2923
O 1.2910 12.4769 -0.2764
O -3.6758 7.2840 5.2431
O 1.1859 6.1872 6.5184
O 2.7044 9.2923 3.4414
O -1.2910 4.5726 8.1808
O 1.3859 -1.1859 14.0916
O -2.2350 10.6706 2.5662
O 1.2478 8.4151 5.3401
O -0.2764 1.2910 12.4769
O -2.5643 6.6566 7.3936
O 3.3318 7.6279 6.6134
O -3.4414 5.1999 9.2923
O 0.6204 10.5656 4.2286
O -5.3401 6.6566 8.4151
O 2.5662 2.2350 13.0424
O -1.1859 14.0916 1.3859
O 2.2350 13.0424 2.5662
```

Calculated values
DFT total energy (eV/atom): -6.894
Raw formation energy (eV per atom): -2.31
Space group: I-43d